## P
Computed, not measured: a relaxed CoNi2HRh crystal at the GGA-PBE level of DFT.

Geometry as CIF:
```
data_CoNi2HRh
_chemical_formula_sum 'Co1 Ni2 H1 Rh1'
_symmetry_space_group_name_H-M 'P 1'
_symmetry_Int_Tables_number 1
_symmetry_space_group_name_Hall 'P 1'
_cell_length_a 3.650
_cell_length_b 3.650
_cell_length_c 3.783
_cell_angle_alpha 90.00
_cell_angle_beta 90.00
_cell_angle_gamma 90.00
loop_
_atom_site_label
_atom_site_type_symbol
_atom_site_fract_x
_atom_site_fract_y
_atom_site_fract_z
Ni1 Ni 0.000 0.500 0.000
H1 H 0.000 0.000 0.000
Ni2 Ni 0.500 0.000 0.000
Rh1 Rh 0.000 0.000 0.500
Co1 Co 0.500 0.500 0.500
```

Symmetry: P4/mmm, No. 123
Magnetic moment, μB per formula unit: 3.92

---

## Q
Computed, not measured: a relaxed CoNi2HRh crystal at the GGA-PBE level of DFT.

Geometry as CIF:
```
data_CoNi2HRh
_chemical_formula_sum 'Co1 Ni2 H1 Rh1'
_symmetry_space_group_name_H-M 'P 1'
_symmetry_Int_Tables_number 1
_symmetry_space_group_name_Hall 'P 1'
_cell_length_a 4.478
_cell_length_b 4.478
_cell_length_c 2.838
_cell_angle_alpha 90.00
_cell_angle_beta 90.00
_cell_angle_gamma 90.00
loop_
_atom_site_label
_atom_site_type_symbol
_atom_site_fract_x
_atom_site_fract_y
_atom_site_fract_z
Ni1 Ni 0.000 0.500 0.000
H1 H 0.000 0.000 0.500
Rh1 Rh 0.500 0.500 0.500
Co1 Co 0.000 0.000 0.000
Ni2 Ni 0.500 0.000 0.000
```

Symmetry: P4/mmm, No. 123
Magnetic moment, μB per formula unit: 3.21

---

The winner here is P, beating the second structure by 593 meV per atom.

---

## P
Computed, not measured: a relaxed BaSF6 crystal at the GGA-PBE level of DFT.

Geometry as CIF:
```
data_BaSF6
_chemical_formula_sum 'Ba1 S1 F6'
_symmetry_space_group_name_H-M 'P 1'
_symmetry_Int_Tables_number 1
_symmetry_space_group_name_Hall 'P 1'
_cell_length_a 17.476
_cell_length_b 6.809
_cell_length_c 6.809
_cell_angle_alpha 58.43
_cell_angle_beta 148.87
_cell_angle_gamma 148.87
loop_
_atom_site_label
_atom_site_type_symbol
_atom_site_fract_x
_atom_site_fract_y
_atom_site_fract_z
F1 F 0.501 0.231 0.262
S1 S 0.000 0.004 0.996
F2 F 0.921 0.813 0.150
Ba1 Ba 0.500 0.981 0.019
F3 F 0.499 0.738 0.769
F4 F 0.966 0.313 0.929
F5 F 0.079 0.850 0.187
F6 F 0.034 0.071 0.687
```

Symmetry: C2, No. 5
Magnetic moment, μB per formula unit: 0.00

---

## Q
Computed, not measured: a relaxed BaSF6 crystal at the GGA-PBE level of DFT.

Geometry as CIF:
```
data_BaSF6
_chemical_formula_sum 'Ba1 S1 F6'
_symmetry_space_group_name_H-M 'P 1'
_symmetry_Int_Tables_number 1
_symmetry_space_group_name_Hall 'P 1'
_cell_length_a 5.333
_cell_length_b 5.333
_cell_length_c 5.847
_cell_angle_alpha 62.87
_cell_angle_beta 62.87
_cell_angle_gamma 60.00
loop_
_atom_site_label
_atom_site_type_symbol
_atom_site_fract_x
_atom_site_fract_y
_atom_site_fract_z
F1 F 0.399 0.912 0.777
F2 F 0.601 0.088 0.223
S1 S 0.000 0.000 0.000
F3 F 0.088 0.601 0.223
F4 F 0.088 0.088 0.223
Ba1 Ba 0.500 0.500 0.500
F5 F 0.912 0.399 0.777
F6 F 0.912 0.912 0.777
```

Symmetry: R-3m, No. 166
Magnetic moment, μB per formula unit: 0.00

---

The winner here is P, beating the second structure by 98 meV per atom.